1.
## Ti3AlH (PBE)

Data for a relaxed Ti3AlH crystal.

As for the total energy: -6.28 eV per atom.

It has space group C2/m (No. 12), with a = 14.6077 Å, b = 2.8008 Å, c = 7.0708 Å, α = 90.00°, β = 97.02° and γ = 90.00°. Symmetry generates all atoms from Ti at (0.0205, 0.0000, 0.1894), Ti at (0.0925, 0.5000, 0.5676), Ti at (0.2214, 0.0000, 0.3263), Al at (0.1464, 0.5000, 0.9663) and H at (0.1065, 0.0000, 0.4021).

2.
## YAlZn11 (PBE)

Data for a relaxed YAlZn11 crystal.

As for the total energy: -2.03 eV per atom. The value obtained for the formation energy is -0.17 eV/atom.

It has space group C2/m (No. 12), with a = 5.2598 Å, b = 12.5474 Å, c = 6.7963 Å, α = 90.00°, β = 112.65° and γ = 90.00°. Symmetry generates all atoms from Y at (0.0000, 0.0000, 0.0000), Al at (0.0000, 0.0000, 0.5000), Zn at (0.0000, 0.5000, 0.5000), Zn at (0.1043, 0.3906, 0.2157), Zn at (0.1773, 0.1777, 0.3535) and Zn at (0.2500, 0.2500, 0.0000).

3.
## SiSe2Br (PBE)

Data for a relaxed SiSe2Br crystal.

The value obtained for the relative energy among the computed polymorphs is 0.059 eV per atom. As for the total energy: -3.57 eV per atom. The value obtained for the raw formation energy is -54 meV per atom.

It has space group R-3m (No. 166, hexagonal axes), with a = 3.6894 Å, b = 3.6894 Å, c = 24.7947 Å, α = 90.00°, β = 90.00° and γ = 120.00°. Symmetry generates all atoms from Si at (0.0000, 0.0000, 0.0000), Se at (0.0000, 0.0000, 0.3910) and Br at (0.0000, 0.0000, 0.5000).

4.
## InHgB (PBE)

Data for a relaxed InHgB crystal.

As for the total energy: -2.46 eV per atom. The value obtained for the formation energy is 0.78 eV/atom.

It has space group P6_3/mmc (No. 194), with a = 4.2167 Å, b = 4.2167 Å, c = 8.6548 Å, α = 90.00°, β = 90.00° and γ = 120.00°. Symmetry generates all atoms from In at (0.0000, 0.0000, 0.0000), Hg at (0.3333, 0.6667, 0.2500) and B at (0.0000, 0.0000, 0.2500).

5.
## Ce2Tl3CdS6 (PBE)

Data for a relaxed Ce2Tl3CdS6 crystal.

As for the total energy: -4.83 eV per atom. The value obtained for the raw formation energy is -1112 meV per atom.

It has space group C2/m (No. 12), with a = 7.0770 Å, b = 12.2640 Å, c = 7.8593 Å, α = 90.00°, β = 107.39° and γ = 90.00°. Symmetry generates all atoms from Ce at (0.0000, 0.1669, 0.0000), Tl at (0.0000, 0.0000, 0.5000), Tl at (0.0000, 0.3351, 0.5000), Cd at (0.0000, 0.5000, 0.0000), S at (0.2309, 0.0000, 0.2007) and S at (0.2360, 0.3315, 0.2028).

6.
## Li2ReP (PBE)

Data for a relaxed Li2ReP crystal.

As for the total energy: -5.43 eV per atom. The value obtained for the formation energy is -0.01 eV/atom.

It has space group P4/mmm (No. 123), with a = 2.5507 Å, b = 2.5507 Å, c = 8.4021 Å, α = 90.00°, β = 90.00° and γ = 90.00°. Symmetry generates all atoms from Li at (0.0000, 0.0000, 0.2289), Re at (0.5000, 0.5000, 0.5000) and P at (0.5000, 0.5000, 0.0000).

What are the magnetic moment values for these records? In order: 0.00, 0.00, 0.00, 0.00, 2.07, 0.00 μB per cell.